[1]
TiMn2Au2 | PBE | optimized geometry

```
TiMn2Au2
1.0
7.3126 0.0000 0.0000
0.0000 7.3126 0.0000
0.0000 0.0000 3.1593
Ti Mn Au
2 4 4
direct
0.0000 0.0000 0.0000
0.5000 0.5000 0.0000
0.1497 0.3503 0.0000
0.3503 0.8503 0.0000
0.6497 0.1497 0.0000
0.8503 0.6497 0.0000
0.1494 0.6494 0.5000
0.3506 0.1494 0.5000
0.6494 0.8506 0.5000
0.8506 0.3506 0.5000
```

Computed properties:
The size of the total moment comes out at 5.7 μB per formula unit. The formation enthalpy at 0 K is 0.091 eV/f.u.

=====

[2]
TiMn2Au | PBE | optimized geometry

```
TiMn2Au
1.0
6.0465 0.0000 0.0000
0.0000 6.0465 0.0000
0.0000 0.0000 6.0465
Ti Mn Au
4 8 4
direct
0.0000 0.0000 0.0000
0.0000 0.5000 0.5000
0.5000 0.0000 0.5000
0.5000 0.5000 0.0000
0.2500 0.2500 0.2500
0.2500 0.2500 0.7500
0.2500 0.7500 0.2500
0.2500 0.7500 0.7500
0.7500 0.2500 0.2500
0.7500 0.2500 0.7500
0.7500 0.7500 0.2500
0.7500 0.7500 0.7500
0.0000 0.0000 0.5000
0.0000 0.5000 0.0000
0.5000 0.0000 0.0000
0.5000 0.5000 0.5000
```

Computed properties:
As for the excess energy over the best structure of this formula in the dataset: 144 kJ/mol of formula units. The size of the total moment comes out at 0.0 μB per formula unit. The formation enthalpy at 0 K is 1.001 eV/f.u.

=====

[3]
TiMnAu4 | PBE | optimized geometry

```
TiMnAu4
1.0
3.4227 0.0000 0.0000
0.0000 3.4227 0.0000
0.0000 0.0000 8.7957
Ti Mn Au
1 1 4
direct
0.0000 0.0000 0.0000
0.5000 0.5000 0.5000
0.0000 0.0000 0.3389
0.0000 0.0000 0.6611
0.5000 0.5000 0.1620
0.5000 0.5000 0.8380
```

Computed properties:
The size of the total moment comes out at 4.4 μB per formula unit. The formation enthalpy at 0 K is -1.473 eV/f.u.